An optimized crystal structure of ZrSbSe2, computed with GGA-PBE.

Cell: 9.202 9.202 9.202 Å, 23.56 23.56 23.56°
Sites, in units of the cell vectors:
Sb  0.500  0.500  0.500
Se  0.903  0.903  0.903
Se  0.097  0.097  0.097
Zr  0.000  0.000  0.000

## Properties
Formation energy without anion corrections (eV/atom): 0.003
Magnetic moment (Bohr magnetons per cell): 0.00
D(E_F) (states/eV/atom): 0.769
SG: No. 166